No. 1
! PBE-GGA SrCuP2, optimized geometry; values from VASP
&SYSTEM
  ibrav = 0, nat = 4, ntyp = 3
/
ATOMIC_SPECIES
Sr 87.62 Sr.upf
Cu 63.55 Cu.upf
P 30.97 P.upf
ATOMIC_POSITIONS angstrom
Sr 0.000 0.000 0.000
Cu 8.646 0.000 2.242
P 2.027 0.000 2.305
P 4.363 0.000 2.278
CELL_PARAMETERS angstrom
5.527 -1.954 0.000
5.527 1.954 0.000
-0.058 0.000 4.560
! Volume in Å³/atom: 24.624
! Energy of formation in eV per atom: -0.42

---

No. 2
! PBE-GGA Sr3Cu6P5, optimized geometry; values from VASP
&SYSTEM
  ibrav = 0, nat = 28, ntyp = 3
/
ATOMIC_SPECIES
Sr 87.62 Sr.upf
Cu 63.55 Cu.upf
P 30.97 P.upf
ATOMIC_POSITIONS angstrom
Sr 0.995 1.139 2.534
Sr 0.995 4.926 2.534
Sr 0.995 9.098 2.590
Sr 2.986 3.033 7.582
Sr 2.986 7.205 7.638
Sr 2.986 10.992 7.638
Cu 0.995 0.783 9.043
Cu 0.995 3.033 5.219
Cu 0.995 3.033 10.144
Cu 0.995 5.282 9.043
Cu 0.995 7.009 5.011
Cu 0.995 11.188 5.011
Cu 2.986 0.943 5.161
Cu 2.986 5.122 5.161
Cu 2.986 6.849 1.129
Cu 2.986 9.098 0.028
Cu 2.986 9.098 4.953
Cu 2.986 11.347 1.129
P 0.995 0.947 6.546
P 0.995 5.118 6.546
P 0.995 7.476 10.106
P 0.995 9.098 6.192
P 0.995 10.720 10.106
P 2.986 1.411 0.066
P 2.986 3.033 3.980
P 2.986 4.655 0.066
P 2.986 7.013 3.626
P 2.986 11.184 3.626
CELL_PARAMETERS angstrom
3.982 0.000 0.000
0.000 12.131 0.000
0.000 0.000 10.172
! Volume in Å³/atom: 17.548
! Energy of formation in eV per atom: -0.54

---

No. 3
! PBE-GGA Sr3CuP3, optimized geometry; values from VASP
&SYSTEM
  ibrav = 0, nat = 28, ntyp = 3
/
ATOMIC_SPECIES
Sr 87.62 Sr.upf
Cu 63.55 Cu.upf
P 30.97 P.upf
ATOMIC_POSITIONS angstrom
Sr 6.038 1.907 1.620
Sr 6.038 1.257 7.841
Sr 9.277 2.009 10.610
Sr 9.277 1.155 4.389
Sr 12.517 1.907 1.620
Sr 12.517 1.257 7.841
Sr 6.038 -1.257 4.601
Sr 6.038 -1.907 10.822
Sr 9.277 -1.155 8.053
Sr 9.277 -2.009 1.832
Sr 12.517 -1.257 4.601
Sr 12.517 -1.907 10.822
Cu 1.505 0.000 6.221
Cu 7.773 0.000 0.000
Cu 10.782 0.000 0.000
Cu 17.050 0.000 6.221
P 6.357 1.909 4.773
P 6.357 1.255 10.994
P 9.277 1.907 7.500
P 9.277 1.257 1.279
P 12.198 1.909 4.773
P 12.198 1.255 10.994
P 6.357 -1.255 1.448
P 6.357 -1.909 7.669
P 9.277 -1.257 11.163
P 9.277 -1.907 4.942
P 12.198 -1.255 1.448
P 12.198 -1.909 7.669
CELL_PARAMETERS angstrom
9.277 -3.164 0.000
9.277 3.164 0.000
0.000 0.000 12.442
! Volume in Å³/atom: 26.090
! Energy of formation in eV per atom: -0.80

---

No. 4
! PBE-GGA SrCuP2, optimized geometry; values from VASP
&SYSTEM
  ibrav = 0, nat = 4, ntyp = 3
/
ATOMIC_SPECIES
Sr 87.62 Sr.upf
Cu 63.55 Cu.upf
P 30.97 P.upf
ATOMIC_POSITIONS angstrom
Sr 0.000 0.000 0.000
Cu 0.000 0.000 3.252
P 2.023 0.000 2.125
P 2.023 0.000 4.379
CELL_PARAMETERS angstrom
2.023 -3.442 0.000
2.023 3.442 0.000
0.000 0.000 6.504
! Volume in Å³/atom: 22.643
! Energy of formation in eV per atom: -0.25

---

No. 5
! PBE-GGA SrCuP2, optimized geometry; values from VASP
&SYSTEM
  ibrav = 0, nat = 4, ntyp = 3
/
ATOMIC_SPECIES
Sr 87.62 Sr.upf
Cu 63.55 Cu.upf
P 30.97 P.upf
ATOMIC_POSITIONS angstrom
Sr 0.000 0.000 0.000
Cu 0.000 2.598 1.646
P 1.695 0.000 2.781
P 0.000 0.000 4.410
CELL_PARAMETERS angstrom
-1.695 2.598 4.581
1.695 -2.598 4.581
1.695 2.598 -4.581
! Volume in Å³/atom: 20.174
! Energy of formation in eV per atom: -0.11

---

No. 6
! PBE-GGA SrCuP2, optimized geometry; values from VASP
&SYSTEM
  ibrav = 0, nat = 4, ntyp = 3
/
ATOMIC_SPECIES
Sr 87.62 Sr.upf
Cu 63.55 Cu.upf
P 30.97 P.upf
ATOMIC_POSITIONS angstrom
Sr 0.000 0.000 0.000
Cu 3.054 0.000 2.527
P 0.883 0.000 3.107
P 5.225 0.000 1.948
CELL_PARAMETERS angstrom
3.854 -2.124 0.000
3.854 2.124 0.000
-1.601 0.000 5.055
! Volume in Å³/atom: 20.689
! Energy of formation in eV per atom: -0.41

---

No. 7
! PBE-GGA SrCu3P2, optimized geometry; values from VASP
&SYSTEM
  ibrav = 0, nat = 12, ntyp = 3
/
ATOMIC_SPECIES
Sr 87.62 Sr.upf
Cu 63.55 Cu.upf
P 30.97 P.upf
ATOMIC_POSITIONS angstrom
Sr 2.045 0.000 0.436
Sr 9.984 0.000 6.187
Cu -0.447 0.000 2.503
Cu 3.044 0.000 3.691
Cu 5.115 0.000 2.245
Cu 6.914 0.000 4.378
Cu 8.984 0.000 2.932
Cu 12.475 0.000 4.120
P 0.833 0.000 4.477
P 4.786 0.000 5.382
P 7.243 0.000 1.240
P 11.196 0.000 2.146
CELL_PARAMETERS angstrom
7.489 -1.980 0.000
7.489 1.980 0.000
-2.950 0.000 6.623
! Volume in Å³/atom: 16.367
! Energy of formation in eV per atom: -0.48

---

No. 8
! PBE-GGA SrCuP2, optimized geometry; values from VASP
&SYSTEM
  ibrav = 0, nat = 8, ntyp = 3
/
ATOMIC_SPECIES
Sr 87.62 Sr.upf
Cu 63.55 Cu.upf
P 30.97 P.upf
ATOMIC_POSITIONS angstrom
Sr 0.000 0.000 0.000
Sr 0.000 2.398 3.847
Cu 2.398 0.000 3.847
Cu 0.000 0.000 7.693
P 1.199 -0.387 5.770
P 2.011 1.199 1.923
P 1.199 2.785 -1.923
P 0.387 1.199 9.617
CELL_PARAMETERS angstrom
-2.398 2.398 7.693
2.398 -2.398 7.693
2.398 2.398 -7.693
! Volume in Å³/atom: 22.124
! Energy of formation in eV per atom: -0.47